{
  "formula": "YMgCoSn",
  "functional": "PBE",
  "state": "optimized geometry",
  "relative_energy_mev_per_atom": 130.6,
  "spacegroup": "F-43m (216)",
  "lattice": [[-3.199, -0.962, -3.450], [-3.623, 3.041, -0.832], [-0.057, 2.624, -4.021]],
  "species": ["Co", "Mg", "Sn", "Y"],
  "fractional_positions": [[0.500, 0.500, 0.500], [0.750, 0.750, 0.750], [0.250, 0.250, 0.250], [0.000, 0.000, 0.000]]
}

***

{
  "formula": "La2PrZn2Si4Pd2",
  "functional": "PBE",
  "state": "optimized geometry",
  "relative_energy_mev_per_atom": 0.0,
  "spacegroup": "Immm (71)",
  "lattice": [[-0.728, -5.493, 11.749], [-1.641, 0.305, 12.882], [-1.747, 2.146, -12.692]],
  "species": ["La", "La", "Pd", "Pd", "Pr", "Si", "Si", "Si", "Si", "Zn", "Zn"],
  "fractional_positions": [[0.647, 0.147, 0.500], [0.353, 0.853, 0.500], [0.905, 0.405, 0.500], [0.095, 0.595, 0.500], [0.000, 0.000, 0.000], [0.453, 0.453, 0.000], [0.547, 0.547, 0.000], [0.808, 0.308, 0.500], [0.192, 0.692, 0.500], [0.250, 0.250, 0.000], [0.750, 0.750, 0.000]]
}

***

{
  "formula": "TlCuCl3",
  "functional": "PBE",
  "state": "optimized geometry",
  "spacegroup": "P2_1/c (14)",
  "total_energy_ev_per_atom": -3.015,
  "lattice": [[-0.511, -1.856, 3.563], [-5.394, -11.069, -6.538], [8.221, -2.999, -1.706]],
  "species": ["Cl", "Cl", "Cl", "Cl", "Cl", "Cl", "Cl", "Cl", "Cl", "Cl", "Cl", "Cl", "Cu", "Cu", "Cu", "Cu", "Tl", "Tl", "Tl", "Tl"],
  "fractional_positions": [[0.173, 0.597, 0.033], [0.325, 0.011, 0.179], [0.724, 0.803, 0.239], [0.276, 0.303, 0.261], [0.675, 0.511, 0.321], [0.827, 0.097, 0.467], [0.173, 0.903, 0.533], [0.325, 0.489, 0.679], [0.724, 0.697, 0.739], [0.276, 0.197, 0.761], [0.675, 0.989, 0.821], [0.827, 0.403, 0.967], [0.252, 0.450, 0.157], [0.748, 0.950, 0.343], [0.252, 0.050, 0.657], [0.748, 0.550, 0.843], [0.772, 0.171, 0.056], [0.228, 0.671, 0.444], [0.772, 0.329, 0.556], [0.228, 0.829, 0.944]]
}